DFT (meta-GGA SCAN) results for a PBEsol-optimized structure of La5Sc.

Geometry as CIF:
```
data_La5Sc
_chemical_formula_sum 'La5 Sc1'
_cell_length_a 3.560
_cell_length_b 3.560
_cell_length_c 17.616
_cell_angle_alpha 90.00
_cell_angle_beta 90.00
_cell_angle_gamma 120.00
_space_group_name_H-M_alt 'P 1'
_space_group_IT_number 1
_space_group_name_Hall 'P 1'
loop_
_atom_site_label
_atom_site_type_symbol
_atom_site_fract_x
_atom_site_fract_y
_atom_site_fract_z
La1 La 0.333 0.667 0.828
La2 La 0.000 0.000 0.000
La3 La 0.000 0.000 0.347
La4 La 0.000 0.000 0.653
Sc1 Sc 0.333 0.667 0.500
La5 La 0.333 0.667 0.172
```

Properties
space-group type: No. 187
spin magnetization: 0.0 μB/cell
electronic total energy: -1.405 Ha/atom
offset from the most stable computed form: 0.045 eV per atom

=====

DFT (meta-GGA SCAN) results for a PBEsol-optimized structure of ZnRe2Se.

Geometry as CIF:
```
data_ZnRe2Se
_chemical_formula_sum 'Zn1 Re2 Se1'
_cell_length_a 3.020
_cell_length_b 4.560
_cell_length_c 4.713
_cell_angle_alpha 107.53
_cell_angle_beta 108.68
_cell_angle_gamma 90.00
_space_group_name_H-M_alt 'P 1'
_space_group_IT_number 1
_space_group_name_Hall 'P 1'
loop_
_atom_site_label
_atom_site_type_symbol
_atom_site_fract_x
_atom_site_fract_y
_atom_site_fract_z
Re1 Re 0.003 0.933 0.006
Zn1 Zn 0.258 0.799 0.516
Re2 Re 0.744 0.283 0.488
Se1 Se 0.495 0.485 0.990
```

Properties
space-group type: No. 8
spin magnetization: 0.0 μB/cell
electronic total energy: -1.596 Ha/atom
offset from the most stable computed form: 0.000 eV per atom

=====

DFT (meta-GGA SCAN) results for a PBEsol-optimized structure of HgTeAs2.

Geometry as CIF:
```
data_HgTeAs2
_chemical_formula_sum 'Hg2 Te2 As4'
_cell_length_a 5.843
_cell_length_b 5.843
_cell_length_c 8.155
_cell_angle_alpha 110.99
_cell_angle_beta 110.99
_cell_angle_gamma 90.00
_space_group_name_H-M_alt 'P 1'
_space_group_IT_number 1
_space_group_name_Hall 'P 1'
loop_
_atom_site_label
_atom_site_type_symbol
_atom_site_fract_x
_atom_site_fract_y
_atom_site_fract_z
Hg1 Hg 0.000 0.000 0.000
Hg2 Hg 0.250 0.750 0.500
Te1 Te 0.750 0.250 0.500
As1 As 0.125 0.113 0.750
As2 As 0.625 0.637 0.750
As3 As 0.363 0.875 0.250
Te2 Te 0.500 0.500 0.000
As4 As 0.887 0.375 0.250
```

Properties
space-group type: No. 122
spin magnetization: 0.0 μB/cell
electronic total energy: -1.327 Ha/atom

=====

DFT (meta-GGA SCAN) results for a PBEsol-optimized structure of Ta2IrW.

Geometry as CIF:
```
data_Ta2IrW
_chemical_formula_sum 'Ta2 Ir1 W1'
_cell_length_a 3.305
_cell_length_b 4.423
_cell_length_c 4.423
_cell_angle_alpha 90.00
_cell_angle_beta 90.00
_cell_angle_gamma 90.00
_space_group_name_H-M_alt 'P 1'
_space_group_IT_number 1
_space_group_name_Hall 'P 1'
loop_
_atom_site_label
_atom_site_type_symbol
_atom_site_fract_x
_atom_site_fract_y
_atom_site_fract_z
Ta1 Ta 0.000 0.500 0.000
Ta2 Ta 0.000 0.000 0.500
Ir1 Ir 0.500 0.000 0.000
W1 W 0.500 0.500 0.500
```

Properties
space-group type: No. 123
spin magnetization: 0.0 μB/cell
electronic total energy: -2.533 Ha/atom
offset from the most stable computed form: 0.000 eV per atom

=====

DFT (meta-GGA SCAN) results for a PBEsol-optimized structure of Mg2InSe.

Geometry as CIF:
```
data_Mg2InSe
_chemical_formula_sum 'Mg2 In1 Se1'
_cell_length_a 3.650
_cell_length_b 5.535
_cell_length_c 5.535
_cell_angle_alpha 62.03
_cell_angle_beta 70.75
_cell_angle_gamma 70.75
_space_group_name_H-M_alt 'P 1'
_space_group_IT_number 1
_space_group_name_Hall 'P 1'
loop_
_atom_site_label
_atom_site_type_symbol
_atom_site_fract_x
_atom_site_fract_y
_atom_site_fract_z
Mg1 Mg 0.778 0.222 0.222
Mg2 Mg 0.222 0.778 0.778
Se1 Se 0.500 0.000 0.000
In1 In 0.000 0.500 0.500
```

Properties
space-group type: No. 71
spin magnetization: 0.0 μB/cell
electronic total energy: -0.596 Ha/atom
offset from the most stable computed form: 0.211 eV per atom

=====

DFT (meta-GGA SCAN) results for a PBEsol-optimized structure of Ti6Ga16Co7.

Geometry as CIF:
```
data_Ti6Ga16Co7
_chemical_formula_sum 'Ti6 Ga16 Co7'
_cell_length_a 8.227
_cell_length_b 8.227
_cell_length_c 8.227
_cell_angle_alpha 60.00
_cell_angle_beta 60.00
_cell_angle_gamma 60.00
_space_group_name_H-M_alt 'P 1'
_space_group_IT_number 1
_space_group_name_Hall 'P 1'
loop_
_atom_site_label
_atom_site_type_symbol
_atom_site_fract_x
_atom_site_fract_y
_atom_site_fract_z
Ga1 Ga 0.654 0.654 0.038
Ga2 Ga 0.346 0.346 0.962
Ga3 Ga 0.346 0.346 0.346
Ga4 Ga 0.654 0.654 0.654
Ga5 Ga 0.879 0.364 0.879
Co1 Co 0.000 0.500 0.500
Co2 Co 0.500 0.500 0.000
Co3 Co 0.000 0.000 0.000
Co4 Co 0.500 0.000 0.500
Co5 Co 0.000 0.500 0.000
Ga6 Ga 0.879 0.879 0.879
Co6 Co 0.500 0.000 0.000
Ga7 Ga 0.038 0.654 0.654
Ti1 Ti 0.304 0.696 0.304
Ti2 Ti 0.696 0.304 0.696
Ti3 Ti 0.696 0.304 0.304
Ga8 Ga 0.121 0.636 0.121
Ga9 Ga 0.364 0.879 0.879
Ga10 Ga 0.879 0.879 0.364
Ga11 Ga 0.346 0.962 0.346
Ga12 Ga 0.962 0.346 0.346
Ga13 Ga 0.636 0.121 0.121
Ti4 Ti 0.304 0.696 0.696
Co7 Co 0.000 0.000 0.500
Ti5 Ti 0.696 0.696 0.304
Ga14 Ga 0.121 0.121 0.636
Ga15 Ga 0.121 0.121 0.121
Ga16 Ga 0.654 0.038 0.654
Ti6 Ti 0.304 0.304 0.696
```

Properties
space-group type: No. 225
spin magnetization: 0.0 μB/cell
electronic total energy: -0.621 Ha/atom

=====

DFT (meta-GGA SCAN) results for a PBEsol-optimized structure of YBeAu3.

Geometry as CIF:
```
data_YBeAu3
_chemical_formula_sum 'Y2 Be2 Au6'
_cell_length_a 5.316
_cell_length_b 5.755
_cell_length_c 5.727
_cell_angle_alpha 90.00
_cell_angle_beta 90.00
_cell_angle_gamma 95.68
_space_group_name_H-M_alt 'P 1'
_space_group_IT_number 1
_space_group_name_Hall 'P 1'
loop_
_atom_site_label
_atom_site_type_symbol
_atom_site_fract_x
_atom_site_fract_y
_atom_site_fract_z
Au1 Au 0.286 0.146 0.001
Be1 Be 0.068 0.867 0.250
Au2 Au 0.286 0.146 0.499
Au3 Au 0.331 0.580 0.250
Y1 Y 0.180 0.672 0.750
Au4 Au 0.669 0.420 0.750
Be2 Be 0.932 0.133 0.750
Au5 Au 0.714 0.854 0.501
Y2 Y 0.820 0.328 0.250
Au6 Au 0.714 0.854 0.999
```

Properties
space-group type: No. 11
spin magnetization: 0.0 μB/cell
electronic total energy: -1.790 Ha/atom
offset from the most stable computed form: 0.000 eV per atom

=====

DFT (meta-GGA SCAN) results for a PBEsol-optimized structure of LiAs2Cl.

Geometry as CIF:
```
data_LiAs2Cl
_chemical_formula_sum 'Li1 As2 Cl1'
_cell_length_a 3.518
_cell_length_b 5.736
_cell_length_c 5.736
_cell_angle_alpha 74.70
_cell_angle_beta 72.15
_cell_angle_gamma 72.15
_space_group_name_H-M_alt 'P 1'
_space_group_IT_number 1
_space_group_name_Hall 'P 1'
loop_
_atom_site_label
_atom_site_type_symbol
_atom_site_fract_x
_atom_site_fract_y
_atom_site_fract_z
Cl1 Cl 0.553 0.447 0.447
As1 As 0.024 0.976 0.976
As2 As 0.712 0.788 0.788
Li1 Li 0.211 0.289 0.289
```

Properties
space-group type: No. 44
spin magnetization: 0.0 μB/cell
electronic total energy: -0.487 Ha/atom
offset from the most stable computed form: 0.377 eV per atom

=====

DFT (meta-GGA SCAN) results for a PBEsol-optimized structure of Co8Mo.

Geometry as CIF:
```
data_Co8Mo
_chemical_formula_sum 'Co8 Mo1'
_cell_length_a 3.494
_cell_length_b 5.528
_cell_length_c 5.528
_cell_angle_alpha 84.27
_cell_angle_beta 71.58
_cell_angle_gamma 71.58
_space_group_name_H-M_alt 'P 1'
_space_group_IT_number 1
_space_group_name_Hall 'P 1'
loop_
_atom_site_label
_atom_site_type_symbol
_atom_site_fract_x
_atom_site_fract_y
_atom_site_fract_z
Co1 Co 0.000 0.337 0.663
Co2 Co 0.663 0.337 0.337
Co3 Co 0.329 0.342 0.000
Co4 Co 0.671 0.658 0.000
Co5 Co 0.000 0.663 0.337
Mo1 Mo 0.000 0.000 0.000
Co6 Co 0.337 0.663 0.663
Co7 Co 0.671 0.000 0.658
Co8 Co 0.329 0.000 0.342
```

Properties
space-group type: No. 139
spin magnetization: 12.0 μB/cell
electronic total energy: -0.702 Ha/atom

=====

DFT (meta-GGA SCAN) results for a PBEsol-optimized structure of CaTc2W.

Geometry as CIF:
```
data_CaTc2W
_chemical_formula_sum 'Ca1 Tc2 W1'
_cell_length_a 3.090
_cell_length_b 4.562
_cell_length_c 4.562
_cell_angle_alpha 90.00
_cell_angle_beta 90.00
_cell_angle_gamma 90.00
_space_group_name_H-M_alt 'P 1'
_space_group_IT_number 1
_space_group_name_Hall 'P 1'
loop_
_atom_site_label
_atom_site_type_symbol
_atom_site_fract_x
_atom_site_fract_y
_atom_site_fract_z
Tc1 Tc 0.000 0.000 0.500
Ca1 Ca 0.500 0.000 0.000
W1 W 0.500 0.500 0.500
Tc2 Tc 0.000 0.500 0.000
```

Properties
space-group type: No. 123
spin magnetization: 0.0 μB/cell
electronic total energy: -1.351 Ha/atom
offset from the most stable computed form: 0.142 eV per atom

=====

DFT (meta-GGA SCAN) results for a PBEsol-optimized structure of K2LaBe.

Geometry as CIF:
```
data_K2LaBe
_chemical_formula_sum 'K2 La1 Be1'
_cell_length_a 3.436
_cell_length_b 6.095
_cell_length_c 6.816
_cell_angle_alpha 90.00
_cell_angle_beta 90.00
_cell_angle_gamma 90.00
_space_group_name_H-M_alt 'P 1'
_space_group_IT_number 1
_space_group_name_Hall 'P 1'
loop_
_atom_site_label
_atom_site_type_symbol
_atom_site_fract_x
_atom_site_fract_y
_atom_site_fract_z
K1 K 0.000 0.000 0.727
La1 La 0.500 0.500 0.000
Be1 Be 0.500 0.500 0.500
K2 K 0.000 0.000 0.273
```

Properties
space-group type: No. 47
spin magnetization: 1.5 μB/cell
electronic total energy: -0.557 Ha/atom

=====

DFT (meta-GGA SCAN) results for a PBEsol-optimized structure of AlFeBiBr2.

Geometry as CIF:
```
data_AlFeBiBr2
_chemical_formula_sum 'Al1 Fe1 Bi1 Br2'
_cell_length_a 4.726
_cell_length_b 4.726
_cell_length_c 5.638
_cell_angle_alpha 90.00
_cell_angle_beta 90.00
_cell_angle_gamma 90.00
_space_group_name_H-M_alt 'P 1'
_space_group_IT_number 1
_space_group_name_Hall 'P 1'
loop_
_atom_site_label
_atom_site_type_symbol
_atom_site_fract_x
_atom_site_fract_y
_atom_site_fract_z
Bi1 Bi 0.000 0.000 0.500
Fe1 Fe 0.000 0.000 0.000
Al1 Al 0.500 0.500 0.500
Br1 Br 0.000 0.500 0.000
Br2 Br 0.500 0.000 0.000
```

Properties
space-group type: No. 123
spin magnetization: 3.2 μB/cell
electronic total energy: -1.046 Ha/atom

=====

Q: Which formula does entry 10 have?
A: CaTc2W